The following is a DFT calculation (PBE) of crystalline ScAg2PbS4 at its relaxed geometry.

It has space group P2/m (No. 10), with a = 6.6269 Å, b = 3.8890 Å, c = 6.8722 Å, α = 90.00°, β = 109.69° and γ = 90.00°. The inequivalent atoms are Sc at (0.0000, 0.0000, 0.0000), Ag at (0.5000, 0.0000, 0.5000), Ag at (0.5000, 0.5000, 0.0000), Pb at (0.0000, 0.5000, 0.5000), S at (0.2367, 0.5000, 0.2269) and S at (0.2532, 0.0000, 0.7722).

The raw formation energy comes out at -5.3 eV/f.u. For the density of states at the Fermi level, the calculation gives 0.240 states/eV/atom.